ReAg2W: relaxed, PBE.

```
data_ReAg2W
_chemical_formula_sum 'Re1 Ag2 W1'
_cell_length_a 3.107
_cell_length_b 3.107
_cell_length_c 7.207
_cell_angle_alpha 90.00
_cell_angle_beta 90.00
_cell_angle_gamma 90.00
_symmetry_space_group_name_H-M 'P 4 m m'
_symmetry_Int_Tables_number 99
_symmetry_space_group_name_Hall 'P 4 -2'
loop_
_atom_site_label
_atom_site_fract_x
_atom_site_fract_y
_atom_site_fract_z
Re1 0.000 0.000 0.000
Ag1 0.000 0.000 0.466
Ag2 0.500 0.500 0.721
W1 0.500 0.500 0.183
```

Calculated values
The polymorph energy (0 for the lowest one) is 0.125 eV/atom. For the formation energy from the elements, the calculation gives 0.48 eV per atom. The energy comes out at -29.2 eV/cell.